Material: Pu2Tl3NiS6
Method: DFT, GGA-PBE
State: optimized geometry

```
12
Lattice="3.3662 -5.8095 0.0000 3.3662 5.8095 0.0000 -2.2451 0.0000 7.5179" Properties=species:S:1:pos:R:3 pbc="T T T"
Pu 3.3662 3.8751 0.0000
Pu 3.3662 -3.8751 0.0000
Tl -1.1225 0.0000 3.7589
Tl 2.2436 1.9764 3.7589
Tl 2.2436 -1.9764 3.7589
Ni 3.3662 0.0000 0.0000
S 0.0563 1.8350 6.1109
S 1.2121 0.0000 1.4471
S 0.0563 -1.8350 6.1109
S 4.4309 1.8350 1.4069
S 3.2752 0.0000 6.0707
S 4.4309 -1.8350 1.4069
```

Raw formation energy: -0.842 eV per atom
Total magnetization: 7.0 μB per formula unit
Total energy: -76.4 eV per cell